Material: PaReSi2Pd
Method: DFT, PBE-GGA
State: relaxed

Cell lengths 4.131, 4.131, 10.025 Å; angles 90.00, 90.00, 90.00 degrees
Sites, in units of the cell vectors:
Pa1 0.000 0.000 0.000
Pa2 0.500 0.500 0.500
Re1 0.000 0.500 0.250
Re2 0.500 0.000 0.750
Si1 0.000 0.000 0.380
Si2 0.000 0.000 0.620
Si3 0.500 0.500 0.120
Si4 0.500 0.500 0.880
Pd1 0.000 0.500 0.750
Pd2 0.500 0.000 0.250

Properties
Its crystal system is tetragonal. The spin magnetization comes out at 0.000 μB per atom. For the uncorrected formation energy, the calculation gives -592 meV/atom.

Material: SmPaRePd
Method: DFT, PBE-GGA
State: relaxed

Cell lengths 7.000, 7.000, 7.000 Å; angles 90.00, 90.00, 90.00 degrees
Sites, in units of the cell vectors:
Sm1 0.000 0.000 0.000
Sm2 0.000 0.500 0.500
Sm3 0.500 0.000 0.500
Sm4 0.500 0.500 0.000
Pa1 0.000 0.000 0.500
Pa2 0.000 0.500 0.000
Pa3 0.500 0.000 0.000
Pa4 0.500 0.500 0.500
Re1 0.250 0.250 0.250
Re2 0.250 0.750 0.750
Re3 0.750 0.250 0.750
Re4 0.750 0.750 0.250
Pd1 0.250 0.250 0.750
Pd2 0.250 0.750 0.250
Pd3 0.750 0.250 0.250
Pd4 0.750 0.750 0.750

Properties
Its crystal system is cubic. The spin magnetization comes out at 0.001 μB per atom. The formation energy comes out at -163 meV/atom.

Material: PaReSnPd
Method: DFT, PBE-GGA
State: relaxed

Cell lengths 6.818, 6.818, 6.818 Å; angles 90.00, 90.00, 90.00 degrees
Sites, in units of the cell vectors:
Pa1 0.000 0.000 0.000
Pa2 0.000 0.500 0.500
Pa3 0.500 0.000 0.500
Pa4 0.500 0.500 0.000
Re1 0.250 0.250 0.250
Re2 0.250 0.750 0.750
Re3 0.750 0.250 0.750
Re4 0.750 0.750 0.250
Sn1 0.000 0.000 0.500
Sn2 0.000 0.500 0.000
Sn3 0.500 0.000 0.000
Sn4 0.500 0.500 0.500
Pd1 0.250 0.250 0.750
Pd2 0.250 0.750 0.250
Pd3 0.750 0.250 0.250
Pd4 0.750 0.750 0.750

Properties
Its crystal system is cubic. The spin magnetization comes out at 0.000 μB per atom. The formation energy comes out at -119 meV/atom.

What did the first record say?
Material: PaReSi2Pd
Method: DFT, PBE-GGA
State: relaxed

Cell lengths 4.131, 4.131, 10.025 Å; angles 90.00, 90.00, 90.00 degrees
Sites, in units of the cell vectors:
Pa1 0.000 0.000 0.000
Pa2 0.500 0.500 0.500
Re1 0.000 0.500 0.250
Re2 0.500 0.000 0.750
Si1 0.000 0.000 0.380
Si2 0.000 0.000 0.620
Si3 0.500 0.500 0.120
Si4 0.500 0.500 0.880
Pd1 0.000 0.500 0.750
Pd2 0.500 0.000 0.250

Properties
Its crystal system is tetragonal. The spin magnetization comes out at 0.000 μB per atom. For the uncorrected formation energy, the calculation gives -592 meV/atom.

Repeat the second record exactly.
Material: SmPaRePd
Method: DFT, PBE-GGA
State: relaxed

Cell lengths 7.000, 7.000, 7.000 Å; angles 90.00, 90.00, 90.00 degrees
Sites, in units of the cell vectors:
Sm1 0.000 0.000 0.000
Sm2 0.000 0.500 0.500
Sm3 0.500 0.000 0.500
Sm4 0.500 0.500 0.000
Pa1 0.000 0.000 0.500
Pa2 0.000 0.500 0.000
Pa3 0.500 0.000 0.000
Pa4 0.500 0.500 0.500
Re1 0.250 0.250 0.250
Re2 0.250 0.750 0.750
Re3 0.750 0.250 0.750
Re4 0.750 0.750 0.250
Pd1 0.250 0.250 0.750
Pd2 0.250 0.750 0.250
Pd3 0.750 0.250 0.250
Pd4 0.750 0.750 0.750

Properties
Its crystal system is cubic. The spin magnetization comes out at 0.001 μB per atom. The formation energy comes out at -163 meV/atom.

- Which value of spin magnetization does entry 3 give?
  0.000 μB per atom